(1)
AcBeGeIr: optimized geometry, PBE.

The final energy is -5.856 eV/atom. For the formation energy, the calculation gives -528 meV/atom. The space group is R3m, No. 160. The crystal system is trigonal. The density of states at the Fermi level comes out at 2.29 states/eV/f.u.

```
data_AcBeGeIr
_chemical_formula_sum 'Ac1 Be1 Ge1 Ir1'
_space_group_name_H-M_alt 'P 1'
_space_group_IT_number 1
_space_group_name_Hall 'P 1'
_cell_length_a 4.170
_cell_length_b 4.170
_cell_length_c 6.001
_cell_angle_alpha 69.67
_cell_angle_beta 69.67
_cell_angle_gamma 60.00
loop_
_atom_site_label
_atom_site_type_symbol
_atom_site_fract_x
_atom_site_fract_y
_atom_site_fract_z
_atom_site_occupancy
Be1 Be 0.286 0.286 0.142 1
Ge1 Ge 0.009 0.009 0.974 1
Ac1 Ac 0.815 0.815 0.554 1
Ir1 Ir 0.616 0.616 0.152 1
```

***

(2)
CsCePbCl6: optimized geometry, PBE.

The final energy is -4.183 eV/atom. The space group is Imma, No. 74. The crystal system is orthorhombic. The density of states at the Fermi level comes out at 7.84 states/eV/f.u.

```
data_CsCePbCl6
_chemical_formula_sum 'Cs2 Ce2 Pb2 Cl12'
_space_group_name_H-M_alt 'P 1'
_space_group_IT_number 1
_space_group_name_Hall 'P 1'
_cell_length_a 10.503
_cell_length_b 10.062
_cell_length_c 10.349
_cell_angle_alpha 119.09
_cell_angle_beta 120.49
_cell_angle_gamma 90.00
loop_
_atom_site_label
_atom_site_type_symbol
_atom_site_fract_x
_atom_site_fract_y
_atom_site_fract_z
_atom_site_occupancy
Cl1 Cl 0.163 0.325 0.746 1
Cl2 Cl 0.837 0.675 0.254 1
Cs1 Cs 0.174 0.424 0.349 1
Cs2 Cs 0.826 0.576 0.651 1
Cl3 Cl 0.837 0.079 0.254 1
Cl4 Cl 0.418 0.079 0.254 1
Cl5 Cl 0.407 0.657 0.814 1
Cl6 Cl 0.582 0.921 0.746 1
Cl7 Cl 0.582 0.325 0.746 1
Cl8 Cl 0.593 0.343 0.186 1
Pb1 Pb 0.500 0.500 0.000 1
Cl9 Cl 0.812 0.062 0.624 1
Ce1 Ce 0.500 0.000 0.500 1
Cl10 Cl 0.188 0.938 0.376 1
Cl11 Cl 0.163 0.921 0.746 1
Cl12 Cl 0.418 0.675 0.254 1
Ce2 Ce 0.000 0.000 0.500 1
Pb2 Pb 0.500 0.000 0.000 1
```

***

(3)
YAs2Os: optimized geometry, PBE.

Its offset from the most stable computed form is 331 meV per atom. The final energy is -6.957 eV/atom. For the formation energy, the calculation gives -209 meV/atom. The space group is Pmm2, No. 25. The crystal system is orthorhombic. The density of states at the Fermi level comes out at 1.94 states/eV/f.u.

```
data_YAs2Os
_chemical_formula_sum 'Y1 As2 Os1'
_space_group_name_H-M_alt 'P 1'
_space_group_IT_number 1
_space_group_name_Hall 'P 1'
_cell_length_a 3.238
_cell_length_b 3.839
_cell_length_c 6.077
_cell_angle_alpha 90.00
_cell_angle_beta 90.00
_cell_angle_gamma 90.00
loop_
_atom_site_label
_atom_site_type_symbol
_atom_site_fract_x
_atom_site_fract_y
_atom_site_fract_z
_atom_site_occupancy
As1 As 0.500 0.500 0.291 1
Y1 Y 0.500 0.500 0.774 1
Os1 Os 0.000 0.000 0.431 1
As2 As 0.000 0.000 0.004 1
```

***

(4)
Na2Li2S: optimized geometry, PBE.

The final energy is -2.631 eV/atom. The space group is P4/mbm, No. 127. The crystal system is tetragonal. The density of states at the Fermi level comes out at 0.00 states/eV/f.u.

```
data_Na2Li2S
_chemical_formula_sum 'Na4 Li4 S2'
_space_group_name_H-M_alt 'P 1'
_space_group_IT_number 1
_space_group_name_Hall 'P 1'
_cell_length_a 6.486
_cell_length_b 6.486
_cell_length_c 5.404
_cell_angle_alpha 90.00
_cell_angle_beta 90.00
_cell_angle_gamma 90.00
loop_
_atom_site_label
_atom_site_type_symbol
_atom_site_fract_x
_atom_site_fract_y
_atom_site_fract_z
_atom_site_occupancy
S1 S 0.500 0.500 0.000 1
Na1 Na 0.684 0.816 0.500 1
Li1 Li 0.831 0.669 0.000 1
Li2 Li 0.331 0.831 0.000 1
Li3 Li 0.669 0.169 0.000 1
Na2 Na 0.184 0.684 0.500 1
Na3 Na 0.316 0.184 0.500 1
Li4 Li 0.169 0.331 0.000 1
S2 S 0.000 0.000 0.000 1
Na4 Na 0.816 0.316 0.500 1
```

***

(5)
SmAg3Sn: optimized geometry, PBE.

The final energy is -3.696 eV/atom. For the formation energy, the calculation gives -241 meV/atom. The space group is Pmmn, No. 59. The crystal system is orthorhombic. The density of states at the Fermi level comes out at 1.70 states/eV/f.u.

```
data_SmAg3Sn
_chemical_formula_sum 'Sm2 Ag6 Sn2'
_space_group_name_H-M_alt 'P 1'
_space_group_IT_number 1
_space_group_name_Hall 'P 1'
_cell_length_a 4.898
_cell_length_b 6.757
_cell_length_c 6.722
_cell_angle_alpha 90.00
_cell_angle_beta 90.00
_cell_angle_gamma 90.00
loop_
_atom_site_label
_atom_site_type_symbol
_atom_site_fract_x
_atom_site_fract_y
_atom_site_fract_z
_atom_site_occupancy
Ag1 Ag 0.476 0.926 0.903 1
Sm1 Sm 0.476 0.415 0.701 1
Sn1 Sn 0.976 0.734 0.701 1
Ag2 Ag 0.976 0.427 0.403 1
Sm2 Sm 0.976 0.938 0.201 1
Sn2 Sn 0.476 0.618 0.201 1
Ag3 Ag 0.476 0.221 0.201 1
Ag4 Ag 0.976 0.427 0.998 1
Ag5 Ag 0.976 0.132 0.700 1
Ag6 Ag 0.476 0.926 0.498 1
```

***

(6)
KInNCl: optimized geometry, PBE.

Its offset from the most stable computed form is 140 meV per atom. The final energy is -3.918 eV/atom. The space group is Amm2, No. 38. The crystal system is orthorhombic.

```
data_KInNCl
_chemical_formula_sum 'K2 In2 N2 Cl2'
_space_group_name_H-M_alt 'P 1'
_space_group_IT_number 1
_space_group_name_Hall 'P 1'
_cell_length_a 3.671
_cell_length_b 4.037
_cell_length_c 13.297
_cell_angle_alpha 90.00
_cell_angle_beta 90.00
_cell_angle_gamma 90.00
loop_
_atom_site_label
_atom_site_type_symbol
_atom_site_fract_x
_atom_site_fract_y
_atom_site_fract_z
_atom_site_occupancy
In1 In 0.500 0.500 0.515 1
K1 K 0.000 0.000 0.303 1
Cl1 Cl 0.500 0.500 0.171 1
N1 N 0.000 0.000 0.949 1
N2 N 0.000 0.500 0.449 1
In2 In 0.500 0.000 0.015 1
K2 K 0.000 0.500 0.803 1
Cl2 Cl 0.500 0.000 0.671 1
```

***

(7)
Li3TlHg4Cl12: optimized geometry, PBE.

The final energy is -2.520 eV/atom. The space group is R32, No. 155. The crystal system is trigonal. The density of states at the Fermi level comes out at 0.00 states/eV/f.u.

```
data_Li3TlHg4Cl12
_chemical_formula_sum 'Li3 Tl1 Hg4 Cl12'
_space_group_name_H-M_alt 'P 1'
_space_group_IT_number 1
_space_group_name_Hall 'P 1'
_cell_length_a 8.916
_cell_length_b 8.916
_cell_length_c 8.916
_cell_angle_alpha 107.77
_cell_angle_beta 107.77
_cell_angle_gamma 107.77
loop_
_atom_site_label
_atom_site_type_symbol
_atom_site_fract_x
_atom_site_fract_y
_atom_site_fract_z
_atom_site_occupancy
Cl1 Cl 0.667 0.763 0.057 1
Cl2 Cl 0.763 0.057 0.667 1
Cl3 Cl 0.057 0.667 0.763 1
Tl1 Tl 0.000 0.000 0.000 1
Hg1 Hg 0.500 0.500 0.500 1
Cl4 Cl 0.330 0.670 0.500 1
Li1 Li 0.563 0.437 0.000 1
Cl5 Cl 0.892 0.500 0.108 1
Li2 Li 0.000 0.563 0.437 1
Cl6 Cl 0.500 0.330 0.670 1
Cl7 Cl 0.333 0.943 0.237 1
Hg2 Hg 0.062 0.500 0.938 1
Hg3 Hg 0.500 0.938 0.062 1
Cl8 Cl 0.237 0.333 0.943 1
Cl9 Cl 0.108 0.892 0.500 1
Cl10 Cl 0.500 0.108 0.892 1
Li3 Li 0.437 0.000 0.563 1
Cl11 Cl 0.943 0.237 0.333 1
Cl12 Cl 0.670 0.500 0.330 1
Hg4 Hg 0.938 0.062 0.500 1
```

***

(8)
Ba2As2Se: optimized geometry, PBE.

Its offset from the most stable computed form is 0 meV per atom. The final energy is -4.369 eV/atom. The space group is P4/mbm, No. 127. The crystal system is tetragonal. The density of states at the Fermi level comes out at 1.65 states/eV/f.u.

```
data_Ba2As2Se
_chemical_formula_sum 'Ba4 As4 Se2'
_space_group_name_H-M_alt 'P 1'
_space_group_IT_number 1
_space_group_name_Hall 'P 1'
_cell_length_a 8.404
_cell_length_b 8.404
_cell_length_c 4.522
_cell_angle_alpha 90.00
_cell_angle_beta 90.00
_cell_angle_gamma 90.00
loop_
_atom_site_label
_atom_site_type_symbol
_atom_site_fract_x
_atom_site_fract_y
_atom_site_fract_z
_atom_site_occupancy
As1 As 0.401 0.901 0.000 1
Ba1 Ba 0.307 0.193 0.500 1
Se1 Se 0.000 0.000 0.000 1
As2 As 0.099 0.401 0.000 1
As3 As 0.901 0.599 0.000 1
Ba2 Ba 0.693 0.807 0.500 1
Se2 Se 0.500 0.500 0.000 1
As4 As 0.599 0.099 0.000 1
Ba3 Ba 0.807 0.307 0.500 1
Ba4 Ba 0.193 0.693 0.500 1
```

***

(9)
CaHo2Te: optimized geometry, PBE.

The final energy is -3.870 eV/atom. The space group is R-3m, No. 166. The crystal system is trigonal. The density of states at the Fermi level comes out at 4.15 states/eV/f.u.

```
data_CaHo2Te
_chemical_formula_sum 'Ca1 Ho2 Te1'
_space_group_name_H-M_alt 'P 1'
_space_group_IT_number 1
_space_group_name_Hall 'P 1'
_cell_length_a 3.872
_cell_length_b 3.872
_cell_length_c 11.165
_cell_angle_alpha 80.01
_cell_angle_beta 80.01
_cell_angle_gamma 60.00
loop_
_atom_site_label
_atom_site_type_symbol
_atom_site_fract_x
_atom_site_fract_y
_atom_site_fract_z
_atom_site_occupancy
Te1 Te 0.500 0.500 0.500 1
Ho1 Ho 0.895 0.895 0.316 1
Ca1 Ca 0.000 0.000 0.000 1
Ho2 Ho 0.105 0.105 0.684 1
```

***

(10)
Li2LaZr: optimized geometry, PBE.

Its offset from the most stable computed form is 227 meV per atom. The final energy is -3.945 eV/atom. For the formation energy, the calculation gives 381 meV/atom. The space group is I-4m2, No. 119. The crystal system is tetragonal. The density of states at the Fermi level comes out at 6.02 states/eV/f.u.

```
data_Li2LaZr
_chemical_formula_sum 'Li2 La1 Zr1'
_space_group_name_H-M_alt 'P 1'
_space_group_IT_number 1
_space_group_name_Hall 'P 1'
_cell_length_a 5.751
_cell_length_b 5.751
_cell_length_c 5.751
_cell_angle_alpha 135.06
_cell_angle_beta 135.06
_cell_angle_gamma 65.43
loop_
_atom_site_label
_atom_site_type_symbol
_atom_site_fract_x
_atom_site_fract_y
_atom_site_fract_z
_atom_site_occupancy
La1 La 0.750 0.250 0.500 1
Zr1 Zr 0.500 0.500 0.000 1
Li1 Li 0.000 0.000 0.000 1
Li2 Li 0.250 0.750 0.500 1
```

***

(11)
Ho2ErTmS6: optimized geometry, PBE.

The final energy is -6.359 eV/atom. The space group is R3, No. 146. The crystal system is trigonal. The density of states at the Fermi level comes out at 0.00 states/eV/f.u.

```
data_Ho2ErTmS6
_chemical_formula_sum 'Ho2 Er1 Tm1 S6'
_space_group_name_H-M_alt 'P 1'
_space_group_IT_number 1
_space_group_name_Hall 'P 1'
_cell_length_a 6.848
_cell_length_b 6.848
_cell_length_c 7.297
_cell_angle_alpha 62.01
_cell_angle_beta 62.01
_cell_angle_gamma 59.99
loop_
_atom_site_label
_atom_site_type_symbol
_atom_site_fract_x
_atom_site_fract_y
_atom_site_fract_z
_atom_site_occupancy
Tm1 Tm 0.317 0.317 0.049 1
S1 S 0.216 0.920 0.252 1
Ho1 Ho 0.517 0.517 0.449 1
S2 S 0.113 0.418 0.753 1
S3 S 0.611 0.216 0.252 1
Ho2 Ho 0.016 0.016 0.951 1
S4 S 0.418 0.715 0.753 1
S5 S 0.920 0.611 0.252 1
S6 S 0.715 0.113 0.753 1
Er1 Er 0.816 0.816 0.551 1
```

***

(12)
MnCo2As: optimized geometry, PBE.

The final energy is -6.993 eV/atom. For the formation energy, the calculation gives 14 meV/atom. The space group is C2/m, No. 12. The crystal system is monoclinic. The density of states at the Fermi level comes out at 3.13 states/eV/f.u.

```
data_MnCo2As
_chemical_formula_sum 'Mn1 Co2 As1'
_space_group_name_H-M_alt 'P 1'
_space_group_IT_number 1
_space_group_name_Hall 'P 1'
_cell_length_a 4.190
_cell_length_b 4.190
_cell_length_c 4.491
_cell_angle_alpha 79.57
_cell_angle_beta 79.57
_cell_angle_gamma 39.46
loop_
_atom_site_label
_atom_site_type_symbol
_atom_site_fract_x
_atom_site_fract_y
_atom_site_fract_z
_atom_site_occupancy
Mn1 Mn 0.750 0.750 0.750 1
Co1 Co 0.499 0.499 0.498 1
Co2 Co 0.001 0.001 0.002 1
As1 As 0.250 0.250 0.250 1
```